Entry from Alexandria via LeMat-Bulk: a relaxed structure of LaHf2Cu2 (PBE).

Calculated values
The calculation puts the total energy at -6.5139 eV per atom. Its space-group type is P4/mbm. Its total moment is 0.00 μB per atom.

```
data_LaHf2Cu2
_cell_length_a 7.787
_cell_length_b 7.787
_cell_length_c 3.349
_cell_angle_alpha 90.00
_cell_angle_beta 90.00
_cell_angle_gamma 90.00
_space_group_name_H-M_alt 'P 1'
_space_group_IT_number 1
_space_group_name_Hall 'P 1'
loop_
_atom_site_label
_atom_site_type_symbol
_atom_site_fract_x
_atom_site_fract_y
_atom_site_fract_z
La1 La 0.000 0.000 0.000
La2 La 0.500 0.500 0.000
Hf1 Hf 0.164 0.336 0.500
Hf2 Hf 0.336 0.836 0.500
Hf3 Hf 0.664 0.164 0.500
Hf4 Hf 0.836 0.664 0.500
Cu1 Cu 0.119 0.619 0.000
Cu2 Cu 0.381 0.119 0.000
Cu3 Cu 0.619 0.881 0.000
Cu4 Cu 0.881 0.381 0.000
```

Entry from Alexandria via LeMat-Bulk: a relaxed structure of LaHfCu (PBE).

Calculated values
The calculation puts the total energy at -6.2450 eV per atom. Its space-group type is C2/m. Its total moment is 0.00 μB per atom.

```
data_LaHfCu
_cell_length_a 7.459
_cell_length_b 7.459
_cell_length_c 5.698
_cell_angle_alpha 102.75
_cell_angle_beta 102.75
_cell_angle_gamma 27.28
_space_group_name_H-M_alt 'P 1'
_space_group_IT_number 1
_space_group_name_Hall 'P 1'
loop_
_atom_site_label
_atom_site_type_symbol
_atom_site_fract_x
_atom_site_fract_y
_atom_site_fract_z
La1 La 0.056 0.056 0.267
La2 La 0.944 0.944 0.733
Hf1 Hf 0.332 0.332 0.159
Hf2 Hf 0.668 0.668 0.841
Cu1 Cu 0.268 0.268 0.654
Cu2 Cu 0.732 0.732 0.346
```

Entry from Alexandria via LeMat-Bulk: a relaxed structure of La2HfCu (PBE).

Calculated values
The calculation puts the total energy at -5.5383 eV per atom. Its space-group type is R-3m. Its total moment is 0.00 μB per atom.

```
data_La2HfCu
_cell_length_a 11.255
_cell_length_b 11.255
_cell_length_c 11.255
_cell_angle_alpha 16.80
_cell_angle_beta 16.80
_cell_angle_gamma 16.80
_space_group_name_H-M_alt 'P 1'
_space_group_IT_number 1
_space_group_name_Hall 'P 1'
loop_
_atom_site_label
_atom_site_type_symbol
_atom_site_fract_x
_atom_site_fract_y
_atom_site_fract_z
La1 La 0.094 0.094 0.094
La2 La 0.906 0.906 0.906
Hf1 Hf 0.000 0.000 0.000
Cu1 Cu 0.500 0.500 0.500
```

Entry from Alexandria via LeMat-Bulk: a relaxed structure of LaHfCu (PBE).

Calculated values
The calculation puts the total energy at -6.3106 eV per atom. Its space-group type is Pnma. Its total moment is 0.00 μB per atom.

```
data_LaHfCu
_cell_length_a 7.893
_cell_length_b 4.541
_cell_length_c 7.822
_cell_angle_alpha 90.00
_cell_angle_beta 90.00
_cell_angle_gamma 90.00
_space_group_name_H-M_alt 'P 1'
_space_group_IT_number 1
_space_group_name_Hall 'P 1'
loop_
_atom_site_label
_atom_site_type_symbol
_atom_site_fract_x
_atom_site_fract_y
_atom_site_fract_z
La1 La 0.030 0.250 0.152
La2 La 0.470 0.750 0.652
La3 La 0.530 0.250 0.348
La4 La 0.970 0.750 0.848
Hf1 Hf 0.132 0.250 0.569
Hf2 Hf 0.368 0.750 0.069
Hf3 Hf 0.632 0.250 0.931
Hf4 Hf 0.868 0.750 0.431
Cu1 Cu 0.201 0.750 0.377
Cu2 Cu 0.299 0.250 0.877
Cu3 Cu 0.701 0.750 0.123
Cu4 Cu 0.799 0.250 0.623
```

Entry from Alexandria via LeMat-Bulk: a relaxed structure of LaHfCu (PBE).

Calculated values
The calculation puts the total energy at -6.2602 eV per atom. Its space-group type is P1. Its total moment is 0.00 μB per atom.

```
data_LaHfCu
_cell_length_a 3.363
_cell_length_b 6.177
_cell_length_c 7.235
_cell_angle_alpha 82.38
_cell_angle_beta 76.60
_cell_angle_gamma 74.27
_space_group_name_H-M_alt 'P 1'
_space_group_IT_number 1
_space_group_name_Hall 'P 1'
loop_
_atom_site_label
_atom_site_type_symbol
_atom_site_fract_x
_atom_site_fract_y
_atom_site_fract_z
La1 La 0.000 0.000 0.000
La2 La 0.365 0.509 0.761
Hf1 Hf 0.159 0.324 0.360
Hf2 Hf 0.407 0.794 0.392
Cu1 Cu 0.684 0.030 0.603
Cu2 Cu 0.684 0.532 0.102
```

Entry from Alexandria via LeMat-Bulk: a relaxed structure of LiLaHf2Cu (PBE).

Calculated values
The calculation puts the total energy at -5.5524 eV per atom. Its space-group type is P4/mmm. Its total moment is 0.00 μB per atom.

```
data_LiLaHf2Cu
_cell_length_a 4.983
_cell_length_b 4.983
_cell_length_c 5.549
_cell_angle_alpha 90.00
_cell_angle_beta 90.00
_cell_angle_gamma 90.00
_space_group_name_H-M_alt 'P 1'
_space_group_IT_number 1
_space_group_name_Hall 'P 1'
loop_
_atom_site_label
_atom_site_type_symbol
_atom_site_fract_x
_atom_site_fract_y
_atom_site_fract_z
Li1 Li 0.000 0.000 0.000
La1 La 0.500 0.500 0.000
Hf1 Hf 0.000 0.500 0.500
Hf2 Hf 0.500 0.000 0.500
Cu1 Cu 0.500 0.500 0.500
```

Entry from Alexandria via LeMat-Bulk: a relaxed structure of Na2LaHfCu (PBE).

Calculated values
The calculation puts the total energy at -3.0068 eV per atom. Its space-group type is P4/mmm. Its total moment is 0.00 μB per atom.

```
data_Na2LaHfCu
_cell_length_a 5.943
_cell_length_b 5.943
_cell_length_c 5.521
_cell_angle_alpha 90.00
_cell_angle_beta 90.00
_cell_angle_gamma 90.00
_space_group_name_H-M_alt 'P 1'
_space_group_IT_number 1
_space_group_name_Hall 'P 1'
loop_
_atom_site_label
_atom_site_type_symbol
_atom_site_fract_x
_atom_site_fract_y
_atom_site_fract_z
Na1 Na 0.000 0.500 0.000
Na2 Na 0.500 0.000 0.000
La1 La 0.000 0.000 0.500
Hf1 Hf 0.000 0.000 0.000
Cu1 Cu 0.500 0.500 0.500
```

Entry from Alexandria via LeMat-Bulk: a relaxed structure of LaHf2CuP4 (PBE).

Calculated values
The calculation puts the total energy at -7.4065 eV per atom. Its space-group type is Cmcm. Its total moment is 0.00 μB per atom.

```
data_LaHf2CuP4
_cell_length_a 6.612
_cell_length_b 6.612
_cell_length_c 12.958
_cell_angle_alpha 90.00
_cell_angle_beta 90.00
_cell_angle_gamma 146.35
_space_group_name_H-M_alt 'P 1'
_space_group_IT_number 1
_space_group_name_Hall 'P 1'
loop_
_atom_site_label
_atom_site_type_symbol
_atom_site_fract_x
_atom_site_fract_y
_atom_site_fract_z
La1 La 0.116 0.884 0.750
La2 La 0.884 0.116 0.250
Hf1 Hf 0.369 0.631 0.561
Hf2 Hf 0.369 0.631 0.939
Hf3 Hf 0.631 0.369 0.061
Hf4 Hf 0.631 0.369 0.439
Cu1 Cu 0.151 0.849 0.250
Cu2 Cu 0.849 0.151 0.750
P1 P 0.000 0.000 0.000
P2 P 0.000 0.000 0.500
P3 P 0.267 0.733 0.114
P4 P 0.267 0.733 0.386
P5 P 0.446 0.554 0.750
P6 P 0.554 0.446 0.250
P7 P 0.733 0.267 0.614
P8 P 0.733 0.267 0.886
```

Entry from Alexandria via LeMat-Bulk: a relaxed structure of La2HfCuPt (PBE).

Calculated values
The calculation puts the total energy at -5.4713 eV per atom. Its space-group type is P4/mmm. Its total moment is 0.00 μB per atom.

```
data_La2HfCuPt
_cell_length_a 5.795
_cell_length_b 5.795
_cell_length_c 4.823
_cell_angle_alpha 90.00
_cell_angle_beta 90.00
_cell_angle_gamma 90.00
_space_group_name_H-M_alt 'P 1'
_space_group_IT_number 1
_space_group_name_Hall 'P 1'
loop_
_atom_site_label
_atom_site_type_symbol
_atom_site_fract_x
_atom_site_fract_y
_atom_site_fract_z
La1 La 0.000 0.500 0.000
La2 La 0.500 0.000 0.000
Hf1 Hf 0.000 0.000 0.000
Cu1 Cu 0.500 0.500 0.500
Pt1 Pt 0.000 0.000 0.500
```

Entry from Alexandria via LeMat-Bulk: a relaxed structure of La2HfCuS5 (PBE).

Calculated values
As for the formation energy without anion corrections: -165 kJ per mole of atoms. Its space-group type is Cmc2_1. Its total moment is 0.00 μB per atom.

```
data_La2HfCuS5
_cell_length_a 8.571
_cell_length_b 8.571
_cell_length_c 11.727
_cell_angle_alpha 90.00
_cell_angle_beta 90.00
_cell_angle_gamma 153.93
_space_group_name_H-M_alt 'P 1'
_space_group_IT_number 1
_space_group_name_Hall 'P 1'
loop_
_atom_site_label
_atom_site_type_symbol
_atom_site_fract_x
_atom_site_fract_y
_atom_site_fract_z
La1 La 0.117 0.883 0.500
La2 La 0.124 0.876 0.125
La3 La 0.876 0.124 0.625
La4 La 0.883 0.117 0.000
Hf1 Hf 0.189 0.811 0.821
Hf2 Hf 0.811 0.189 0.321
Cu1 Cu 0.438 0.562 0.243
Cu2 Cu 0.562 0.438 0.743
S1 S 0.043 0.957 0.846
S2 S 0.296 0.704 0.470
S3 S 0.306 0.694 0.169
S4 S 0.347 0.653 0.815
S5 S 0.497 0.503 0.572
S6 S 0.503 0.497 0.072
S7 S 0.653 0.347 0.315
S8 S 0.694 0.306 0.669
S9 S 0.704 0.296 0.970
S10 S 0.957 0.043 0.346
```

Entry from Alexandria via LeMat-Bulk: a relaxed structure of La2HfCuSb (PBE).

Calculated values
As for the formation energy without anion corrections: 49 kJ per mole of atoms. Its space-group type is P4/mmm. Its total moment is 0.00 μB per atom.

```
data_La2HfCuSb
_cell_length_a 5.773
_cell_length_b 5.773
_cell_length_c 5.335
_cell_angle_alpha 90.00
_cell_angle_beta 90.00
_cell_angle_gamma 90.00
_space_group_name_H-M_alt 'P 1'
_space_group_IT_number 1
_space_group_name_Hall 'P 1'
loop_
_atom_site_label
_atom_site_type_symbol
_atom_site_fract_x
_atom_site_fract_y
_atom_site_fract_z
La1 La 0.000 0.500 0.000
La2 La 0.500 0.000 0.000
Hf1 Hf 0.000 0.000 0.000
Cu1 Cu 0.500 0.500 0.500
Sb1 Sb 0.000 0.000 0.500
```

Entry from Alexandria via LeMat-Bulk: a relaxed structure of La2HfCuSe5 (PBE).

Calculated values
As for the formation energy without anion corrections: -147 kJ per mole of atoms. Its space-group type is Cmc2_1. Its total moment is 0.00 μB per atom.

```
data_La2HfCuSe5
_cell_length_a 9.040
_cell_length_b 9.040
_cell_length_c 12.125
_cell_angle_alpha 90.00
_cell_angle_beta 90.00
_cell_angle_gamma 154.21
_space_group_name_H-M_alt 'P 1'
_space_group_IT_number 1
_space_group_name_Hall 'P 1'
loop_
_atom_site_label
_atom_site_type_symbol
_atom_site_fract_x
_atom_site_fract_y
_atom_site_fract_z
La1 La 0.118 0.882 0.500
La2 La 0.123 0.877 0.122
La3 La 0.877 0.123 0.622
La4 La 0.882 0.118 0.000
Hf1 Hf 0.188 0.812 0.818
Hf2 Hf 0.812 0.188 0.318
Cu1 Cu 0.431 0.569 0.242
Cu2 Cu 0.569 0.431 0.742
Se1 Se 0.043 0.957 0.846
Se2 Se 0.295 0.705 0.470
Se3 Se 0.303 0.697 0.164
Se4 Se 0.347 0.653 0.813
Se5 Se 0.499 0.501 0.570
Se6 Se 0.501 0.499 0.070
Se7 Se 0.653 0.347 0.313
Se8 Se 0.697 0.303 0.664
Se9 Se 0.705 0.295 0.970
Se10 Se 0.957 0.043 0.346
```

Question: What is the formula in the eighth record?
Answer: LaHf2CuP4

Question: What is the total moment in the seventh record?
Answer: 0.00 μB per atom